Entry 1:
Compound: TbLuPb
Source: the Alexandria database
Functional: PBE
Structure: optimized geometry

## Properties
Size of the total moment = 0.00 μB per cell
Energy relative to the elements = -0.29 eV per atom

abc: 3.5814 3.5814 13.6487
angles: 90.00 90.00 90.00
Closest atoms and distances in Å follow each position.
Space group I4mm (No. 107)
One atom of each set of equivalent atoms:
Tb1 0.0000 0.0000 0.0000 (multiplicity 2)  4 Pb 3.38, 4 Lu 3.50, 4 Tb 3.58
Lu1 0.0000 0.0000 0.6772 (multiplicity 2)  4 Pb 3.33, 4 Tb 3.50, 4 Lu 3.58
Pb1 0.0000 0.0000 0.3357 (multiplicity 2)  4 Lu 3.33, 4 Tb 3.38, 4 Pb 3.58



Entry 2:
Compound: KTmBeTe3
Source: the Alexandria database
Functional: PBE
Structure: optimized geometry

## Properties
Size of the total moment = 0.00 μB per cell
E_form (uncorrected) = -992.8 meV per atom

abc: 9.8659 4.2381 10.1946
angles: 90.00 109.70 90.00
Closest atoms and distances in Å follow each position.
Space group P2_1/m (No. 11)
One atom of each set of equivalent atoms:
K1 0.2058 0.2500 0.2350 (multiplicity 2)  7 Te 3.53-3.75
Tm1 0.3302 0.7500 0.8578 (multiplicity 2)  6 Te 3.03-3.15
Be1 0.0795 0.2500 0.6026 (multiplicity 2)  4 Te 2.45-2.58
Te1 0.1072 0.2500 0.8502 (multiplicity 2)  1 Be 2.45
Te2 0.1863 0.7500 0.5314 (multiplicity 2)  3 Be 2.52-2.58
Te3 0.4634 0.7500 0.1724 (multiplicity 2)  3 Tm 3.03



Entry 3:
Compound: TbYPt2
Source: the Alexandria database
Functional: PBE
Structure: optimized geometry

## Properties
Size of the total moment = 0.00 μB per cell
Energy relative to the elements = -1.08 eV per atom

abc: 4.0377 4.0377 20.6805
angles: 90.00 90.00 120.00
Closest atoms and distances in Å follow each position.
Space group R3m (No. 160, hexagonal axes)
One atom of each set of equivalent atoms:
Tb1 0.0000 0.0000 0.0000 (multiplicity 3)  6 Pt 2.88-2.95
Y1 0.0000 0.0000 0.8278 (multiplicity 3)  6 Pt 2.85-2.92
Pt1 0.0000 0.0000 0.4152 (multiplicity 3)  3 Y 2.85, 3 Tb 2.88
Pt2 0.0000 0.0000 0.5792 (multiplicity 3)  3 Y 2.92, 3 Tb 2.95



Entry 4:
Compound: Tb2Sm2Pd15
Source: the Alexandria database
Functional: PBE
Structure: optimized geometry

## Properties
Size of the total moment = 0.00 μB per cell
Energy relative to the elements = -0.56 eV per atom

abc: 9.2449 9.2449 14.1802
angles: 90.00 90.00 120.00
Closest atoms and distances in Å follow each position.
Space group R-3m (No. 166, hexagonal axes)
One atom of each set of equivalent atoms:
Tb1 0.0000 0.0000 0.1086 (multiplicity 6)  6 Pd 2.79-2.91, 1 Tb 3.08
Sm1 0.0000 0.0000 0.3628 (multiplicity 6)  12 Pd 3.15-3.37
Pd1 0.0000 0.3082 0.0000 (multiplicity 18)  8 Pd 2.77-2.93
Pd2 0.0000 0.5000 0.5000 (multiplicity 9)  8 Pd 2.70-2.77, 2 Tb 2.79
Pd3 0.0072 0.5036 0.1535 (multiplicity 18)  8 Pd 2.64-2.93, 1 Tb 2.91



Entry 5:
Compound: K2LiMgSb2
Source: the Alexandria database
Functional: PBE
Structure: optimized geometry

## Properties
Size of the total moment = 0.00 μB per cell
E_form (uncorrected) = -501.9 meV per atom

abc: 6.8652 16.3037 6.8844
angles: 90.00 90.00 90.00
Closest atoms and distances in Å follow each position.
Space group Ibam (No. 72)
One atom of each set of equivalent atoms:
K1 0.2430 0.1722 0.0000 (multiplicity 8)  5 Sb 3.59-3.74, 2 Li 3.69, 2 Mg 3.74
Li1 0.0000 0.0000 0.2500 (multiplicity 4)  4 Sb 2.91
Mg1 0.0000 0.5000 0.2500 (multiplicity 4)  4 Sb 2.91
Sb1 0.2502 0.0984 0.5000 (multiplicity 8)  2 Mg 2.91, 2 Li 2.91



Entry 6:
Compound: Mg3In5Cl12
Source: the Alexandria database
Functional: PBE
Structure: optimized geometry

## Properties
Size of the total moment = 0.00 μB per cell
E_form (uncorrected) = -1261.0 meV per atom

abc: 12.6627 12.6627 3.8367
angles: 90.00 90.00 120.00
Closest atoms and distances in Å follow each position.
Space group P-62m (No. 189)
One atom of each set of equivalent atoms:
Mg1 0.0000 0.3345 0.0000 (multiplicity 3)  6 Cl 2.54-2.58
In1 0.0000 0.7178 0.5000 (multiplicity 3)  7 Cl 3.12-3.19
In2 0.3333 0.6667 0.5000 (multiplicity 2)  6 Cl 3.09
Cl1 0.0000 0.1983 0.5000 (multiplicity 3)  2 Mg 2.58
Cl2 0.0000 0.4657 0.5000 (multiplicity 3)  2 Mg 2.54
Cl3 0.2138 0.7672 0.0000 (multiplicity 6)  1 Mg 2.55



Entry 7:
Compound: PuSbPt2
Source: the Alexandria database
Functional: PBE
Structure: optimized geometry

## Properties
Size of the total moment = 15.10 μB per cell
E_form (uncorrected) = -563.9 meV per atom

abc: 4.4638 4.4638 14.9508
angles: 90.00 90.00 120.00
Closest atoms and distances in Å follow each position.
Space group R-3m (No. 166, hexagonal axes)
One atom of each set of equivalent atoms:
Pu1 0.0000 0.0000 0.0000 (multiplicity 3)  6 Pt 3.03
Sb1 0.0000 0.0000 0.5000 (multiplicity 3)  6 Pt 2.73
Pt1 0.0000 0.0000 0.2273 (multiplicity 6)  3 Sb 2.73, 3 Pu 3.03



Entry 8:
Compound: LaY
Source: the Alexandria database
Functional: PBE
Structure: optimized geometry

## Properties
Size of the total moment = 0.00 μB per cell
Energy relative to the elements = 0.04 eV per atom

abc: 3.6714 3.6714 11.8962
angles: 90.00 90.00 120.00
Closest atoms and distances in Å follow each position.
Space group P6_3/mmc (No. 194)
One atom of each set of equivalent atoms:
La1 0.3333 0.6667 0.2500 (multiplicity 2)  6 Y 3.65, 6 La 3.67
Y1 0.0000 0.0000 0.0000 (multiplicity 2)  6 La 3.65, 6 Y 3.67



Entry 9:
Compound: AcTb2Mg3
Source: the Alexandria database
Functional: PBE
Structure: optimized geometry

## Properties
Size of the total moment = 0.00 μB per cell
Energy relative to the elements = -0.07 eV per atom

abc: 3.8967 3.8967 11.7769
angles: 90.00 90.00 90.00
Closest atoms and distances in Å follow each position.
Space group P4/mmm (No. 123)
One atom of each set of equivalent atoms:
Ac1 0.0000 0.0000 0.0000 (multiplicity 1)  8 Mg 3.56, 4 Ac 3.90
Tb1 0.0000 0.0000 0.3440 (multiplicity 2)  8 Mg 3.29-3.31, 1 Tb 3.67
Mg1 0.5000 0.5000 0.1912 (multiplicity 2)  4 Tb 3.29, 4 Ac 3.56, 1 Mg 3.64
Mg2 0.5000 0.5000 0.5000 (multiplicity 1)  8 Tb 3.31, 2 Mg 3.64



Entry 10:
Compound: BaPrY
Source: the Alexandria database
Functional: PBE
Structure: optimized geometry

## Properties
Size of the total moment = 0.00 μB per cell
Energy relative to the elements = 0.15 eV per atom

abc: 3.8408 3.8408 16.7074
angles: 90.00 90.00 90.00
Closest atoms and distances in Å follow each position.
Space group I4mm (No. 107)
One atom of each set of equivalent atoms:
Ba1 0.0000 0.0000 0.0000 (multiplicity 2)  4 Ba 3.84, 4 Y 4.06, 4 Pr 4.07
Pr1 0.0000 0.0000 0.6818 (multiplicity 2)  4 Y 3.56, 4 Pr 3.84
Y1 0.0000 0.0000 0.3196 (multiplicity 2)  4 Pr 3.56, 4 Y 3.84



Entry 11:
Compound: Rb2Zn2Cd
Source: the Alexandria database
Functional: PBE
Structure: optimized geometry

## Properties
Size of the total moment = 0.00 μB per cell
Energy relative to the elements = 0.14 eV per atom

abc: 3.8492 3.8492 23.8262
angles: 90.00 90.00 90.00
Closest atoms and distances in Å follow each position.
Space group I4/mmm (No. 139)
One atom of each set of equivalent atoms:
Rb1 0.0000 0.0000 0.1158 (multiplicity 4)  4 Zn 3.73, 4 Rb 3.85, 4 Cd 3.88
Zn1 0.0000 0.5000 0.2500 (multiplicity 4)  4 Zn 2.72
Cd1 0.0000 0.0000 0.5000 (multiplicity 2)  4 Cd 3.85, 8 Rb 3.88



Entry 12:
Compound: In3Fe5Br12
Source: the Alexandria database
Functional: PBE
Structure: optimized geometry

## Properties
Size of the total moment = 30.60 μB per cell
E_form (uncorrected) = -395.6 meV per atom

abc: 16.8124 16.8124 16.8124
angles: 90.00 90.00 90.00
Closest atoms and distances in Å follow each position.
Space group Ia-3d (No. 230)
One atom of each set of equivalent atoms:
In1 0.0000 0.2500 0.1250 (multiplicity 24)  8 Br 3.32-3.44
Fe1 0.0000 0.0000 0.0000 (multiplicity 16)  6 Br 2.65
Fe2 0.0000 0.2500 0.3750 (multiplicity 24)  4 Br 2.46
Br1 0.0349 0.0497 0.6457 (multiplicity 96)  2 Fe 2.46-2.65



Entry 13:
Compound: Y2Er2Tm7
Source: the Alexandria database
Functional: PBE
Structure: optimized geometry

## Properties
Size of the total moment = 0.00 μB per cell
Energy relative to the elements = 0.17 eV per atom

abc: 11.0541 11.3683 5.9818
angles: 90.00 113.78 90.00
Closest atoms and distances in Å follow each position.
Space group C2/m (No. 12)
One atom of each set of equivalent atoms:
Y1 0.0000 0.2137 0.0000 (multiplicity 4)  6 Tm 3.24-3.44
Er1 0.0920 0.5000 0.3057 (multiplicity 4)  7 Tm 3.39-3.70, 2 Er 3.39-3.65, 2 Y 3.67
Tm1 0.0000 0.0000 0.5000 (multiplicity 2)  6 Tm 3.22-3.39
Tm2 0.1736 0.2362 0.6755 (multiplicity 8)  6 Tm 3.20-3.57, 2 Y 3.24-3.39
Tm3 0.2344 0.0000 0.0807 (multiplicity 4)  5 Tm 3.31-3.50, 3 Er 3.39-3.62, 2 Y 3.44



Entry 14:
Compound: RhPb8Au2
Source: the Alexandria database
Functional: PBE
Structure: optimized geometry

## Properties
Size of the total moment = 0.00 μB per cell
Energy relative to the elements = 0.05 eV per atom

abc: 15.6393 5.2062 10.7198
angles: 90.00 133.25 90.00
Closest atoms and distances in Å follow each position.
Space group C2/m (No. 12)
One atom of each set of equivalent atoms:
Rh1 0.0000 0.0000 0.0000 (multiplicity 2)  2 Au 3.03, 8 Pb 3.05-3.07
Pb1 0.0008 0.5000 0.1493 (multiplicity 4)  2 Au 2.97, 2 Rh 3.05, 1 Pb 3.18
Pb2 0.1522 0.0000 0.6518 (multiplicity 4)  2 Au 2.90-2.91
Pb3 0.2292 0.0000 0.0780 (multiplicity 4)  1 Au 2.96, 1 Rh 3.07, 1 Pb 3.25
Pb4 0.2288 0.0000 0.3803 (multiplicity 4)  1 Au 2.97, 1 Rh 3.07, 1 Pb 3.25
Au1 0.0008 0.0000 0.7184 (multiplicity 4)  6 Pb 2.90-2.97, 1 Rh 3.03



Entry 15:
Compound: YZr2Rh3
Source: the Alexandria database
Functional: PBE
Structure: optimized geometry

## Properties
Size of the total moment = 0.00 μB per cell
Energy relative to the elements = -0.80 eV per atom

abc: 3.3094 3.3094 10.3508
angles: 90.00 90.00 90.00
Closest atoms and distances in Å follow each position.
Space group P4/mmm (No. 123)
One atom of each set of equivalent atoms:
Y1 0.0000 0.0000 0.0000 (multiplicity 1)  8 Rh 3.06, 4 Y 3.31
Zr1 0.0000 0.0000 0.3370 (multiplicity 2)  8 Rh 2.79-2.88
Rh1 0.5000 0.5000 0.1909 (multiplicity 2)  4 Zr 2.79, 4 Y 3.06
Rh2 0.5000 0.5000 0.5000 (multiplicity 1)  8 Zr 2.88, 2 Rh 3.20



Entry 16:
Compound: Tl2Re
Source: the Alexandria database
Functional: PBE
Structure: optimized geometry

## Properties
Size of the total moment = 5.42 μB per cell
Energy relative to the elements = 1.23 eV per atom

abc: 6.6807 6.6807 6.6807
angles: 90.00 90.00 90.00
Closest atoms and distances in Å follow each position.
Space group Fm-3m (No. 225)
One atom of each set of equivalent atoms:
Tl1 0.2500 0.2500 0.2500 (multiplicity 8)  4 Re 2.89
Re1 0.0000 0.0000 0.0000 (multiplicity 4)  8 Tl 2.89



Entry 17:
Compound: KRe2Pb
Source: the Alexandria database
Functional: PBE
Structure: optimized geometry

## Properties
Size of the total moment = 0.00 μB per cell
Energy relative to the elements = 1.30 eV per atom

abc: 2.8605 5.0871 6.9591
angles: 90.00 90.00 90.00
Closest atoms and distances in Å follow each position.
Space group Pmmm (No. 47)
One atom of each set of equivalent atoms:
K1 0.0000 0.0000 0.0000 (multiplicity 1)  2 K 2.86
Re1 0.5000 0.5000 0.3371 (multiplicity 2)  1 Re 2.27
Pb1 0.0000 0.0000 0.5000 (multiplicity 1)  2 Pb 2.86, 8 Re 3.13



Entry 18:
Compound: NaPt2
Source: the Alexandria database
Functional: PBE
Structure: optimized geometry

## Properties
Size of the total moment = 0.00 μB per cell
Energy relative to the elements = -0.06 eV per atom

abc: 2.7601 2.7601 7.5095
angles: 90.00 90.00 120.00
Closest atoms and distances in Å follow each position.
Space group P-3m1 (No. 164)
One atom of each set of equivalent atoms:
Na1 0.0000 0.0000 0.0000 (multiplicity 1)  6 Na 2.76, 6 Pt 2.96
Pt1 0.3333 0.6667 0.6679 (multiplicity 2)  9 Pt 2.76-2.98, 3 Na 2.96



Entry 19:
Compound: MgCr2CuTe
Source: the Alexandria database
Functional: PBE
Structure: optimized geometry

## Properties
Size of the total moment = 7.87 μB per cell
E_form (uncorrected) = 885.4 meV per atom

abc: 5.1009 5.1009 4.8425
angles: 90.00 90.00 90.00
Closest atoms and distances in Å follow each position.
Space group P4/mmm (No. 123)
One atom of each set of equivalent atoms:
Mg1 0.0000 0.0000 0.0000 (multiplicity 1)  8 Cr 3.52, 4 Cu 3.61
Cr1 0.0000 0.5000 0.5000 (multiplicity 2)  2 Te 2.55
Cu1 0.5000 0.5000 0.0000 (multiplicity 1)  2 Te 2.42
Te1 0.5000 0.5000 0.5000 (multiplicity 1)  2 Cu 2.42, 4 Cr 2.55



Entry 20:
Compound: TaNi2Ag2
Source: the Alexandria database
Functional: PBE
Structure: optimized geometry

## Properties
Size of the total moment = 1.04 μB per cell
Energy relative to the elements = 0.30 eV per atom

abc: 6.3709 6.3709 3.8039
angles: 90.00 90.00 90.00
Closest atoms and distances in Å follow each position.
Space group P4/mbm (No. 127)
One atom of each set of equivalent atoms:
Ta1 0.0000 0.0000 0.0000 (multiplicity 2)  4 Ni 2.49
Ni1 0.1310 0.3690 0.0000 (multiplicity 4)  1 Ni 2.36, 2 Ta 2.49, 2 Ag 2.63
Ag1 0.1681 0.6681 0.5000 (multiplicity 4)  6 Ni 2.63-2.70



Entry 21:
Compound: RbCuAu3
Source: the Alexandria database
Functional: PBE
Structure: optimized geometry

## Properties
Size of the total moment = 0.00 μB per cell
Energy relative to the elements = 1.57 eV per atom

abc: 5.9803 5.9803 5.9803
angles: 90.00 90.00 90.00
Closest atoms and distances in Å follow each position.
Space group Pm-3m (No. 221)
One atom of each set of equivalent atoms:
Rb1 0.0000 0.0000 0.0000 (multiplicity 1)  6 Au 2.99
Cu1 0.5000 0.5000 0.5000 (multiplicity 1)  12 Au 4.23
Au1 0.0000 0.0000 0.5000 (multiplicity 3)  2 Rb 2.99